Entry from Alexandria: a geometry-optimized NaNiPtF6 structure (GGA+U).

Results
Uncorrected energy: -4.1762 eV per atom

Lattice parameters (Å, degrees): 5.4559 5.4559 9.5812 90.00 90.00 120.00
Last column: nearest neighbours and their distance in Å.
Space group P-31c (No. 163)
Unique sites:
Na  0.0000  0.0000  0.0000 (multiplicity 2)  6 F 2.34
Ni  0.3333  0.6667  0.2500 (multiplicity 2)  6 F 2.04
Pt  0.3333  0.6667  0.7500 (multiplicity 2)  6 F 2.10
F  0.0082  0.3571  0.1382 (multiplicity 12)  1 Ni 2.04, 1 Pt 2.10